Ce2SiPd | PBE-GGA | optimized geometry

Output
Space-group type: P4/mmm
Fermi-level density of states, states/eV per atom: 2.015
E_form (uncorrected), eV per atom: -0.60
Electronic total energy, eV for the cell shown: -24.88

Geometry as extended XYZ:
```
4
Lattice="-0.5511 -0.2715 -3.7337 -1.9950 -3.1720 0.5252 -5.1583 3.3302 0.5192" Properties=species:S:1:pos:R:3 pbc="T T T"
Pd -1.2731 -1.7218 -1.6043
Ce -3.7366 2.4123 0.3761
Ce -1.4217 0.9178 0.1431
Si -3.8522 -0.0567 -1.3447
```

=====

CeSi2Pd4 | PBE-GGA | optimized geometry

Output
Space-group type: P4_2/mnm
Fermi-level density of states, states/eV per atom: 1.045
E_form (uncorrected), eV per atom: -0.79
Electronic total energy, eV for the cell shown: -86.16

Geometry as extended XYZ:
```
14
Lattice="3.7952 0.0000 0.0000 0.0000 7.8907 0.0000 0.0000 0.0000 7.8907" Properties=species:S:1:pos:R:3 pbc="T T T"
Pd 0.0000 2.5812 0.6412
Pd 1.8976 6.5266 3.3042
Pd 1.8976 4.5865 1.3642
Pd 1.8976 3.3042 6.5266
Pd 0.0000 0.6412 2.5812
Pd 0.0000 5.3095 7.2496
Pd 1.8976 1.3642 4.5865
Pd 0.0000 7.2496 5.3095
Si 1.8976 5.6975 5.6975
Si 1.8976 2.1932 2.1932
Si 0.0000 1.7521 6.1386
Si 0.0000 6.1386 1.7521
Ce 0.0000 3.9454 3.9454
Ce 1.8976 0.0000 0.0000
```